1.
First-principles (PBE-GGA) data for BiIr2Os after structural relaxation, as listed in the Alexandria database.

Values from the calculation:
For the calculated total energy, the calculation gives -58.7 eV/cell. Its energy of formation from the pure elements is 0.8749 eV per atom.

Lattice parameters (Å, degrees): 5.8854 5.8854 7.1560 65.72 65.72 90.00
Closest atoms and distances in Å follow each position.
Fractional coordinates of all 8 atoms:
Os 0.2500 0.7500 0.5000  4 Ir 2.39
Bi 0.7500 0.2500 0.5000  4 Ir 2.71
Ir 0.3750 0.4234 0.7500  2 Os 2.39
Ir 0.8750 0.8266 0.7500  2 Os 2.39
Bi 0.0000 0.0000 0.0000  4 Ir 2.71
Ir 0.5766 0.1250 0.2500  2 Os 2.39
Ir 0.1734 0.6250 0.2500  2 Os 2.39
Os 0.5000 0.5000 0.0000  4 Ir 2.39

2.
First-principles (PBE-GGA) data for Bi2IrOs after structural relaxation, as listed in the Alexandria database.

Values from the calculation:
As for the distance to the lowest polymorph of the same formula: 0.000 eV per atom. For the calculated total energy, the calculation gives -24.5 eV/cell. Its energy of formation from the pure elements is 0.8331 eV per atom.

Lattice parameters (Å, degrees): 4.8622 4.8622 4.8622 60.00 60.00 60.00
Closest atoms and distances in Å follow each position.
Fractional coordinates of all 4 atoms:
Ir 0.5000 0.5000 0.5000  8 Bi 2.98
Os 0.0000 0.0000 0.0000  8 Bi 2.98
Bi 0.2500 0.2500 0.2500  4 Ir 2.98, 4 Os 2.98
Bi 0.7500 0.7500 0.7500  4 Os 2.98, 4 Ir 2.98

Q: Look up the calculated total energy of the first one.
A: -58.7 eV/cell

Q: What is the energy of formation from the pure elements in the first record?
A: 0.8749 eV per atom